# ZrTa2OsRh, relaxed, DFT GGA-PBE
data_ZrTa2OsRh
_chemical_formula_sum 'Zr1 Ta2 Os1 Rh1'
_cell_length_a 4.812
_cell_length_b 4.812
_cell_length_c 4.771
_cell_angle_alpha 90.00
_cell_angle_beta 90.00
_cell_angle_gamma 90.00
_space_group_name_H-M_alt 'P 1'
_space_group_IT_number 1
_space_group_name_Hall 'P 1'
loop_
_atom_site_label
_atom_site_type_symbol
_atom_site_fract_x
_atom_site_fract_y
_atom_site_fract_z
Zr1 Zr 0.000 0.000 0.000
Ta1 Ta 0.000 0.500 0.500
Ta2 Ta 0.500 0.000 0.500
Os1 Os 0.500 0.500 0.500
Rh1 Rh 0.500 0.500 0.000
# DFT total energy	-9.20	eV per atom
# DOS(E_F)	1.2304	states/eV per atom
# energy of formation	4.8	eV/f.u.


# TbLuSe, relaxed, DFT GGA-PBE
data_TbLuSe
_chemical_formula_sum 'Tb1 Lu1 Se1'
_cell_length_a 6.554
_cell_length_b 6.554
_cell_length_c 6.554
_cell_angle_alpha 148.41
_cell_angle_beta 148.41
_cell_angle_gamma 45.27
_space_group_name_H-M_alt 'P 1'
_space_group_IT_number 1
_space_group_name_Hall 'P 1'
loop_
_atom_site_label
_atom_site_type_symbol
_atom_site_fract_x
_atom_site_fract_y
_atom_site_fract_z
Tb1 Tb 0.000 0.000 0.000
Lu1 Lu 0.706 0.706 0.000
Se1 Se 0.349 0.349 0.000
# DFT total energy	-5.15	eV per atom
# relative energy among the computed polymorphs	135	meV/atom
# DOS(E_F)	0.9958	states/eV per atom
# uncorrected formation energy	-2.83	eV per formula unit


# LiTe4H4O6F8, relaxed, DFT GGA-PBE
data_LiTe4H4O6F8
_chemical_formula_sum 'Li1 Te4 H4 O6 F8'
_cell_length_a 5.045
_cell_length_b 6.550
_cell_length_c 11.570
_cell_angle_alpha 82.39
_cell_angle_beta 78.52
_cell_angle_gamma 67.99
_space_group_name_H-M_alt 'P 1'
_space_group_IT_number 1
_space_group_name_Hall 'P 1'
loop_
_atom_site_label
_atom_site_type_symbol
_atom_site_fract_x
_atom_site_fract_y
_atom_site_fract_z
Li1 Li 0.000 0.000 0.000
Te1 Te 0.403 0.379 0.946
Te2 Te 0.767 0.770 0.283
Te3 Te 0.804 0.887 0.738
Te4 Te 0.935 0.305 0.472
H1 H 0.222 0.334 0.613
H2 H 0.238 0.732 0.160
H3 H 0.245 0.810 0.577
H4 H 0.662 0.386 0.105
O1 O 0.026 0.481 0.325
O2 O 0.040 0.776 0.139
O3 O 0.041 0.435 0.585
O4 O 0.098 0.945 0.612
O5 O 0.657 0.262 0.066
O6 O 0.855 0.033 0.853
F1 F 0.140 0.613 0.775
F2 F 0.296 0.102 0.004
F3 F 0.352 0.137 0.422
F4 F 0.550 0.635 0.921
F5 F 0.556 0.192 0.662
F6 F 0.576 0.607 0.486
F7 F 0.592 0.618 0.184
F8 F 0.991 0.894 0.358
# DFT total energy	-4.72	eV per atom
# relative energy among the computed polymorphs	0	meV/atom


# CuHgS2Cl, relaxed, DFT GGA-PBE
data_CuHgS2Cl
_chemical_formula_sum 'Cu1 Hg1 S2 Cl1'
_cell_length_a 4.661
_cell_length_b 4.661
_cell_length_c 4.665
_cell_angle_alpha 90.00
_cell_angle_beta 90.00
_cell_angle_gamma 90.00
_space_group_name_H-M_alt 'P 1'
_space_group_IT_number 1
_space_group_name_Hall 'P 1'
loop_
_atom_site_label
_atom_site_type_symbol
_atom_site_fract_x
_atom_site_fract_y
_atom_site_fract_z
Cu1 Cu 0.000 0.000 0.000
Hg1 Hg 0.500 0.500 0.500
S1 S 0.000 0.500 0.000
S2 S 0.500 0.000 0.000
Cl1 Cl 0.000 0.000 0.500
# DFT total energy	-2.57	eV per atom
# relative energy among the computed polymorphs	0	meV/atom
# DOS(E_F)	0.7632	states/eV per atom
# uncorrected formation energy	1.63	eV per formula unit


# Tm6Si2GeSe3, relaxed, DFT GGA-PBE
data_Tm6Si2GeSe3
_chemical_formula_sum 'Tm6 Si2 Ge1 Se3'
_cell_length_a 9.123
_cell_length_b 9.123
_cell_length_c 8.171
_cell_angle_alpha 103.67
_cell_angle_beta 103.67
_cell_angle_gamma 25.72
_space_group_name_H-M_alt 'P 1'
_space_group_IT_number 1
_space_group_name_Hall 'P 1'
loop_
_atom_site_label
_atom_site_type_symbol
_atom_site_fract_x
_atom_site_fract_y
_atom_site_fract_z
Tm1 Tm 0.004 0.004 0.243
Tm2 Tm 0.330 0.330 0.426
Tm3 Tm 0.336 0.336 0.907
Tm4 Tm 0.664 0.664 0.093
Tm5 Tm 0.670 0.670 0.574
Tm6 Tm 0.996 0.996 0.757
Si1 Si 0.167 0.167 0.333
Si2 Si 0.833 0.833 0.667
Ge1 Ge 0.500 0.500 0.000
Se1 Se 0.167 0.167 0.833
Se2 Se 0.500 0.500 0.500
Se3 Se 0.833 0.833 0.167
# DFT total energy	-5.69	eV per atom
# DOS(E_F)	0.2298	states/eV per atom
# uncorrected formation energy	-15.49	eV per formula unit


# Er2Al4RuPt3, relaxed, DFT GGA-PBE
data_Er2Al4RuPt3
_chemical_formula_sum 'Er2 Al4 Ru1 Pt3'
_cell_length_a 4.254
_cell_length_b 4.254
_cell_length_c 10.088
_cell_angle_alpha 90.00
_cell_angle_beta 90.00
_cell_angle_gamma 90.00
_space_group_name_H-M_alt 'P 1'
_space_group_IT_number 1
_space_group_name_Hall 'P 1'
loop_
_atom_site_label
_atom_site_type_symbol
_atom_site_fract_x
_atom_site_fract_y
_atom_site_fract_z
Er1 Er 0.000 0.500 0.234
Er2 Er 0.500 0.000 0.766
Al1 Al 0.000 0.000 0.500
Al2 Al 0.000 0.500 0.876
Al3 Al 0.500 0.000 0.124
Al4 Al 0.500 0.500 0.500
Ru1 Ru 0.500 0.500 0.000
Pt1 Pt 0.000 0.000 0.000
Pt2 Pt 0.000 0.500 0.634
Pt3 Pt 0.500 0.000 0.366
# DFT total energy	-6.16	eV per atom
# DOS(E_F)	0.4357	states/eV per atom
# energy of formation	-10.2	eV/f.u.


# LaCr3, relaxed, DFT GGA-PBE
data_LaCr3
_chemical_formula_sum 'La2 Cr6'
_cell_length_a 4.232
_cell_length_b 6.153
_cell_length_c 6.194
_cell_angle_alpha 90.00
_cell_angle_beta 90.00
_cell_angle_gamma 90.00
_space_group_name_H-M_alt 'P 1'
_space_group_IT_number 1
_space_group_name_Hall 'P 1'
loop_
_atom_site_label
_atom_site_type_symbol
_atom_site_fract_x
_atom_site_fract_y
_atom_site_fract_z
La1 La 0.250 0.250 0.125
La2 La 0.750 0.750 0.875
Cr1 Cr 0.250 0.030 0.640
Cr2 Cr 0.250 0.470 0.640
Cr3 Cr 0.250 0.750 0.366
Cr4 Cr 0.750 0.250 0.634
Cr5 Cr 0.750 0.530 0.360
Cr6 Cr 0.750 0.970 0.360
# DFT total energy	-7.94	eV per atom
# DOS(E_F)	0.8490	states/eV per atom
# energy of formation	2.0	eV/f.u.


# Li3Al4Rh2, relaxed, DFT GGA-PBE
data_Li3Al4Rh2
_chemical_formula_sum 'Li3 Al4 Rh2'
_cell_length_a 4.250
_cell_length_b 4.250
_cell_length_c 8.044
_cell_angle_alpha 90.00
_cell_angle_beta 90.00
_cell_angle_gamma 120.00
_space_group_name_H-M_alt 'P 1'
_space_group_IT_number 1
_space_group_name_Hall 'P 1'
loop_
_atom_site_label
_atom_site_type_symbol
_atom_site_fract_x
_atom_site_fract_y
_atom_site_fract_z
Li1 Li 0.000 0.000 0.000
Li2 Li 0.333 0.667 0.452
Li3 Li 0.667 0.333 0.548
Al1 Al 0.000 0.000 0.321
Al2 Al 0.000 0.000 0.679
Al3 Al 0.333 0.667 0.113
Al4 Al 0.667 0.333 0.887
Rh1 Rh 0.333 0.667 0.790
Rh2 Rh 0.667 0.333 0.210
# DFT total energy	-4.56	eV per atom
# DOS(E_F)	0.3831	states/eV per atom
# energy of formation	-5.7	eV/f.u.


# Pu4Si2H5, relaxed, DFT GGA-PBE
data_Pu4Si2H5
_chemical_formula_sum 'Pu4 Si2 H5'
_cell_length_a 8.120
_cell_length_b 8.120
_cell_length_c 8.120
_cell_angle_alpha 153.79
_cell_angle_beta 131.58
_cell_angle_gamma 55.89
_space_group_name_H-M_alt 'P 1'
_space_group_IT_number 1
_space_group_name_Hall 'P 1'
loop_
_atom_site_label
_atom_site_type_symbol
_atom_site_fract_x
_atom_site_fract_y
_atom_site_fract_z
Pu1 Pu 0.216 0.000 0.216
Pu2 Pu 0.227 0.227 0.000
Pu3 Pu 0.773 0.773 0.000
Pu4 Pu 0.784 0.000 0.784
Si1 Si 0.419 0.419 0.000
Si2 Si 0.581 0.581 0.000
H1 H 0.000 0.500 0.500
H2 H 0.100 0.765 0.335
H3 H 0.430 0.765 0.665
H4 H 0.570 0.235 0.335
H5 H 0.900 0.235 0.665
# DFT total energy	-7.76	eV per atom
# DOS(E_F)	2.4616	states/eV per atom


# GePdO3, relaxed, DFT GGA-PBE
data_GePdO3
_chemical_formula_sum 'Ge1 Pd1 O3'
_cell_length_a 3.918
_cell_length_b 3.918
_cell_length_c 3.918
_cell_angle_alpha 90.00
_cell_angle_beta 90.00
_cell_angle_gamma 90.00
_space_group_name_H-M_alt 'P 1'
_space_group_IT_number 1
_space_group_name_Hall 'P 1'
loop_
_atom_site_label
_atom_site_type_symbol
_atom_site_fract_x
_atom_site_fract_y
_atom_site_fract_z
Ge1 Ge 0.000 0.000 0.000
Pd1 Pd 0.500 0.500 0.500
O1 O 0.000 0.500 0.500
O2 O 0.500 0.000 0.500
O3 O 0.500 0.500 0.000
# DFT total energy	-5.02	eV per atom
# DOS(E_F)	0.7578	states/eV per atom
# uncorrected formation energy	-0.42	eV per formula unit


# LaPmSc2Hg4, relaxed, DFT GGA-PBE
data_LaPmSc2Hg4
_chemical_formula_sum 'La1 Pm1 Sc2 Hg4'
_cell_length_a 9.117
_cell_length_b 9.117
_cell_length_c 9.117
_cell_angle_alpha 33.44
_cell_angle_beta 33.44
_cell_angle_gamma 33.44
_space_group_name_H-M_alt 'P 1'
_space_group_IT_number 1
_space_group_name_Hall 'P 1'
loop_
_atom_site_label
_atom_site_type_symbol
_atom_site_fract_x
_atom_site_fract_y
_atom_site_fract_z
La1 La 0.000 0.000 0.000
Pm1 Pm 0.500 0.500 0.500
Sc1 Sc 0.249 0.249 0.249
Sc2 Sc 0.751 0.751 0.751
Hg1 Hg 0.127 0.127 0.127
Hg2 Hg 0.377 0.377 0.377
Hg3 Hg 0.623 0.623 0.623
Hg4 Hg 0.873 0.873 0.873
# DFT total energy	-3.36	eV per atom
# DOS(E_F)	1.1835	states/eV per atom
# energy of formation	-3.4	eV/f.u.


# Tl3TcGe, relaxed, DFT GGA-PBE
data_Tl3TcGe
_chemical_formula_sum 'Tl3 Tc1 Ge1'
_cell_length_a 5.444
_cell_length_b 5.444
_cell_length_c 5.444
_cell_angle_alpha 90.00
_cell_angle_beta 90.00
_cell_angle_gamma 90.00
_space_group_name_H-M_alt 'P 1'
_space_group_IT_number 1
_space_group_name_Hall 'P 1'
loop_
_atom_site_label
_atom_site_type_symbol
_atom_site_fract_x
_atom_site_fract_y
_atom_site_fract_z
Tl1 Tl 0.000 0.000 0.500
Tl2 Tl 0.000 0.500 0.000
Tl3 Tl 0.500 0.000 0.000
Tc1 Tc 0.500 0.500 0.500
Ge1 Ge 0.000 0.000 0.000
# DFT total energy	-3.20	eV per atom
# relative energy among the computed polymorphs	431	meV/atom
# DOS(E_F)	0.7559	states/eV per atom
# energy of formation	6.1	eV/f.u.


Summary of total magnetization in μB/f.u.
0.00, 0.00, 1.00, 0.00, 0.00, 0.00, 3.19, 0.00, 21.81, 0.00, 1.08, 3.85
(order as listed above)
Summary of V in Å³ per cell
110.5, 77.0, 346.7, 101.4, 286.4, 182.6, 161.3, 125.8, 175.9, 60.2, 204.9, 161.4
(order as listed above)